(1)
BaPtW | PBE-GGA | relaxed

Geometry as CIF:
```
data_BaPtW
_chemical_formula_sum 'Ba4 Pt4 W4'
_space_group_name_H-M_alt 'C 1 m 1'
_space_group_IT_number 8
_cell_length_a 12.114
_cell_length_b 4.575
_cell_length_c 5.436
_cell_angle_alpha 90.00
_cell_angle_beta 90.38
_cell_angle_gamma 90.00
loop_
_space_group_symop_operation_xyz
'x,y,z'
'x,-y,z'
'x+1/2,y+1/2,z'
'x+1/2,-y+1/2,z'
loop_
_atom_site_label
_atom_site_type_symbol
_atom_site_fract_x
_atom_site_fract_y
_atom_site_fract_z
Ba1 Ba 0.000 0.000 0.000
Ba2 Ba 0.052 0.500 0.489
Pt1 Pt 0.236 0.500 0.981
Pt2 Pt 0.271 0.000 0.270
W1 W 0.282 0.000 0.771
W2 W 0.309 0.500 0.487
```

## Properties
Crystal system = monoclinic
Energy above the most stable polymorph in this dataset = 0.327 eV/f.u.

=====

(2)
Ti2ReBi | PBE-GGA | relaxed

Geometry as CIF:
```
data_Ti2ReBi
_chemical_formula_sum 'Ti2 Re1 Bi1'
_space_group_name_H-M_alt 'P 4/m m m'
_space_group_IT_number 123
_space_group_name_Hall '-P 4 2'
_cell_length_a 3.178
_cell_length_b 3.178
_cell_length_c 7.717
_cell_angle_alpha 90.00
_cell_angle_beta 90.00
_cell_angle_gamma 90.00
loop_
_atom_site_label
_atom_site_type_symbol
_atom_site_fract_x
_atom_site_fract_y
_atom_site_fract_z
Ti1 Ti 0.000 0.000 0.188
Re1 Re 0.500 0.500 0.000
Bi1 Bi 0.500 0.500 0.500
```

## Properties
Crystal system = tetragonal

=====

(3)
CeNiPt | PBE-GGA | relaxed

Geometry as CIF:
```
data_CeNiPt
_chemical_formula_sum 'Ce4 Ni4 Pt4'
_space_group_name_H-M_alt 'P n m a'
_space_group_IT_number 62
_cell_length_a 7.201
_cell_length_b 4.091
_cell_length_c 7.718
_cell_angle_alpha 90.00
_cell_angle_beta 90.00
_cell_angle_gamma 90.00
loop_
_space_group_symop_operation_xyz
'x,y,z'
'-x,-y,-z'
'-x+1/2,-y,z+1/2'
'x+1/2,y,-z+1/2'
'x+1/2,-y+1/2,-z+1/2'
'-x+1/2,y+1/2,z+1/2'
'-x,y+1/2,-z'
'x,-y+1/2,z'
loop_
_atom_site_label
_atom_site_type_symbol
_atom_site_fract_x
_atom_site_fract_y
_atom_site_fract_z
Ce1 Ce 0.033 0.250 0.206
Ni1 Ni 0.107 0.250 0.565
Pt1 Pt 0.244 0.250 0.895
```

## Properties
Crystal system = orthorhombic

=====

(4)
Pm8TmCd2 | PBE-GGA | relaxed

Geometry as CIF:
```
data_Pm8TmCd2
_chemical_formula_sum 'Pm16 Tm2 Cd4'
_space_group_name_H-M_alt 'C 1 2/m 1'
_space_group_IT_number 12
_cell_length_a 8.911
_cell_length_b 15.456
_cell_length_c 5.716
_cell_angle_alpha 90.00
_cell_angle_beta 113.21
_cell_angle_gamma 90.00
loop_
_space_group_symop_operation_xyz
'x,y,z'
'-x,-y,-z'
'-x,y,-z'
'x,-y,z'
'x+1/2,y+1/2,z'
'-x+1/2,-y+1/2,-z'
'-x+1/2,y+1/2,-z'
'x+1/2,-y+1/2,z'
loop_
_atom_site_label
_atom_site_type_symbol
_atom_site_fract_x
_atom_site_fract_y
_atom_site_fract_z
Pm1 Pm 0.000 0.219 0.000
Pm2 Pm 0.099 0.500 0.798
Pm3 Pm 0.206 0.111 0.612
Tm1 Tm 0.000 0.000 0.000
Cd1 Cd 0.000 0.306 0.500
```

## Properties
Crystal system = monoclinic
Energy above the most stable polymorph in this dataset = 0.965 eV/f.u.

=====

What did we get for energy? Answer: -6.822; -8.160; -6.651; -4.012 eV/atom, in the order shown.
What did we get for DFT formation energy? Answer: 0.150; -0.130; -0.733; 0.016 eV per atom, in the order shown.